DFT (PBE) results for an optimized crystal structure of AlIr2Au.

## Properties
Spin magnetization (μB per formula unit): 1.07
Total DFT energy (no corrections) (eV per formula unit): -24.45

Cell: 4.4482 4.4482 4.4482 Å, 60.00 60.00 60.00°
With the nearest neighbours (Å) after each atom.
Element x y z (fractional)
Al (0.5000, 0.5000, 0.5000)  4 Ir 2.72, 4 Au 2.72
Au (0.2500, 0.2500, 0.2500)  4 Ir 2.72, 4 Al 2.72
Ir (0.0000, 0.0000, 0.0000)  4 Ir 2.72, 4 Au 2.72
Ir (0.7500, 0.7500, 0.7500)  4 Al 2.72, 4 Ir 2.72